No. 1
VASP calculation (GGA-PBE) on a geometry-optimized Pr3Nd8Y2 structure.

## Properties
Calculated density, g/cm³: 6.178
Density of states at the Fermi level, states/eV/cell: 20.35
Total energy, eV per cell: -62.7
DFT formation energy, eV per formula unit: 2.8

The structure in POSCAR format:
```
Pr3Nd8Y2
1.0
-1.0977 -1.1197 -5.6417
-5.0780 -5.5244 2.0845
-5.0567 9.7783 -0.9519
Pr Nd Y
3 8 2
direct
0.5000 0.0000 0.0000 Pr
0.0000 0.7117 0.0000 Pr
0.0000 0.2883 0.0000 Pr
0.9991 0.3263 0.6525 Nd
0.5001 0.3997 0.2154 Nd
0.4999 0.1843 0.7846 Nd
0.0009 0.6737 0.3475 Nd
0.4999 0.6003 0.7846 Nd
0.9995 0.1353 0.2707 Nd
0.5001 0.8157 0.2154 Nd
0.0005 0.8647 0.7293 Nd
0.5011 0.7585 0.5170 Y
0.4989 0.2415 0.4830 Y
```

No. 2
VASP calculation (GGA-PBE) on a geometry-optimized Sr4LaCu structure.

## Properties
Calculated density, g/cm³: 3.270
Density of states at the Fermi level, states/eV/cell: 9.90
Total energy, eV per cell: -11.9
DFT formation energy, eV per formula unit: 3.9

The structure in POSCAR format:
```
Sr4LaCu
1.0
-2.4233 -4.5362 5.2517
-6.1148 -3.9346 -1.0761
0.4305 -7.2770 -0.9430
Sr La Cu
4 1 1
direct
0.3743 0.3743 0.8770 Sr
0.3743 0.3743 0.3743 Sr
0.3743 0.8770 0.3743 Sr
0.8770 0.3743 0.3743 Sr
0.0000 0.0000 0.0000 La
0.7500 0.7500 0.7500 Cu
```

No. 3
VASP calculation (GGA-PBE) on a geometry-optimized Y4Ho3Tl4 structure.

## Properties
Calculated density, g/cm³: 8.501
Density of states at the Fermi level, states/eV/cell: 12.21
Total energy, eV per cell: -51.7
DFT formation energy, eV per formula unit: -2.7

The structure in POSCAR format:
```
Y4Ho3Tl4
1.0
-2.2630 -2.2808 1.7827
5.9276 -7.2451 -1.7450
2.6643 6.5243 7.9428
Tl Ho Y
4 3 4
direct
0.5000 0.7796 0.0000 Tl
0.5000 0.2204 0.0000 Tl
0.7319 0.2319 0.4639 Tl
0.2681 0.7681 0.5361 Tl
0.9032 0.9032 0.8065 Ho
0.0000 0.5000 0.0000 Ho
0.0968 0.0968 0.1935 Ho
0.6634 0.8529 0.3268 Y
0.3366 0.5261 0.6732 Y
0.3366 0.1471 0.6732 Y
0.6634 0.4739 0.3268 Y
```

No. 4
VASP calculation (GGA-PBE) on a geometry-optimized Li2MnW structure.

## Properties
Calculated density, g/cm³: 7.535
Density of states at the Fermi level, states/eV/cell: 2.34
Total energy, eV per cell: -24.4
DFT formation energy, eV per formula unit: 1.6

The structure in POSCAR format:
```
Li2MnW
1.0
2.8534 0.0000 0.0000
0.0000 4.0748 0.0000
0.0000 0.0000 4.7888
Li W Mn
2 1 1
direct
0.5000 0.5000 0.0000 Li
0.0000 0.0000 0.0000 Li
0.0000 0.5000 0.5000 W
0.5000 0.0000 0.5000 Mn
```

No. 5
VASP calculation (GGA-PBE) on a geometry-optimized EuMg2Sn structure.

## Properties
Calculated density, g/cm³: 5.071
Density of states at the Fermi level, states/eV/cell: 8.95
Total energy, eV per cell: -18.8
DFT formation energy, eV per formula unit: -1.3

The structure in POSCAR format:
```
EuMg2Sn
1.0
-0.0801 4.8838 0.0522
-4.5760 -0.0678 -0.6785
-0.6777 -0.0600 4.5762
Mg Eu Sn
2 1 1
direct
0.0000 0.0000 0.5000 Mg
0.0000 0.5000 0.0000 Mg
0.5000 0.0000 0.0000 Eu
0.5000 0.5000 0.5000 Sn
```

No. 6
VASP calculation (GGA-PBE) on a geometry-optimized Ca2MgZn3Au4 structure.

## Properties
Calculated density, g/cm³: 8.450
Density of states at the Fermi level, states/eV/cell: 3.19
Total energy, eV per cell: -27.7
DFT formation energy, eV per formula unit: -5.1

The structure in POSCAR format:
```
Ca2MgZn3Au4
1.0
4.4545 0.0000 0.0000
0.0000 4.4545 0.0000
0.0000 0.0000 10.7807
Mg Au Ca Zn
1 4 2 3
direct
0.5000 0.5000 0.5000 Mg
0.0000 0.0000 0.0000 Au
0.5000 0.0000 0.6391 Au
0.0000 0.5000 0.3609 Au
0.5000 0.5000 0.0000 Au
0.0000 0.5000 0.7649 Ca
0.5000 0.0000 0.2351 Ca
0.5000 0.0000 0.8731 Zn
0.0000 0.0000 0.5000 Zn
0.0000 0.5000 0.1269 Zn
```

No. 7
VASP calculation (GGA-PBE) on a geometry-optimized Mg2AlSi structure.

## Properties
Calculated density, g/cm³: 2.348
Formation energy from raw total energies, eV/atom: 0.041
Density of states at the Fermi level, states/eV/cell: 1.18
Total energy, eV per cell: -12.2

The structure in POSCAR format:
```
Mg2AlSi
1.0
-0.0386 2.5196 -1.6448
-2.9909 0.1481 0.2968
0.8865 4.4092 6.7336
Mg Al Si
2 1 1
direct
0.0000 0.0000 0.0117 Mg
0.0000 0.0000 0.4883 Mg
0.5000 0.5000 0.7500 Al
0.5000 0.5000 0.2500 Si
```

No. 8
VASP calculation (GGA-PBE) on a geometry-optimized Ac6HgRh3 structure.

## Properties
Calculated density, g/cm³: 9.086
Density of states at the Fermi level, states/eV/cell: 13.88
Total energy, eV per cell: -105.4
DFT formation energy, eV per formula unit: -5.7

The structure in POSCAR format:
```
Ac6HgRh3
1.0
-0.8356 -1.2430 4.1247
-11.4002 -4.8548 -3.7725
9.1123 -8.9715 -0.8576
Rh Ac Hg
6 12 2
direct
0.7500 0.4493 0.8379 Rh
0.2500 0.5507 0.1621 Rh
0.2500 0.8417 0.9183 Rh
0.7500 0.1583 0.0817 Rh
0.2500 0.3038 0.5076 Rh
0.7500 0.6962 0.4924 Rh
0.7500 0.9291 0.0880 Ac
0.2500 0.0709 0.9120 Ac
0.7500 0.7830 0.7561 Ac
0.2500 0.5398 0.3927 Ac
0.2500 0.8653 0.5348 Ac
0.7500 0.1347 0.4652 Ac
0.2500 0.6097 0.9431 Ac
0.2500 0.2170 0.2439 Ac
0.7500 0.3903 0.0569 Ac
0.2500 0.2885 0.7450 Ac
0.7500 0.7115 0.2550 Ac
0.7500 0.4602 0.6073 Ac
0.2500 0.9437 0.2989 Hg
0.7500 0.0563 0.7011 Hg
```

No. 9
VASP calculation (GGA-PBE) on a geometry-optimized Pr2Al3Pt2 structure.

## Properties
Calculated density, g/cm³: 8.442
Density of states at the Fermi level, states/eV/cell: 4.56
Total energy, eV per cell: -39.4
DFT formation energy, eV per formula unit: -6.6

The structure in POSCAR format:
```
Pr2Al3Pt2
1.0
4.2425 0.0000 0.0000
-2.1213 5.4802 -0.3760
0.0000 -2.9963 6.5759
Pt Al Pr
2 3 2
direct
0.8623 0.7246 0.7846 Pt
0.1377 0.2754 0.2154 Pt
0.3570 0.7140 0.5673 Al
0.5000 0.0000 0.0000 Al
0.6430 0.2860 0.4327 Al
0.8597 0.7194 0.2266 Pr
0.1403 0.2806 0.7734 Pr
```

No. 10
VASP calculation (GGA-PBE) on a geometry-optimized LaMnOs2 structure.

## Properties
Calculated density, g/cm³: 12.750
Density of states at the Fermi level, states/eV/cell: 3.42
Total energy, eV per cell: -34.5
DFT formation energy, eV per formula unit: 2.0

The structure in POSCAR format:
```
LaMnOs2
1.0
5.8065 0.1143 -0.0660
2.8551 5.0573 0.0660
-3.6403 -3.7422 2.5448
Os La Mn
2 1 1
direct
0.9929 0.9929 0.0000 Os
0.7807 0.2807 0.5000 Os
0.5058 0.5058 0.0000 La
0.2205 0.7205 0.5000 Mn
```

No. 11
VASP calculation (GGA-PBE) on a geometry-optimized KLiSc structure.

## Properties
Calculated density, g/cm³: 1.517
Density of states at the Fermi level, states/eV/cell: 2.80
Total energy, eV per cell: -7.6
DFT formation energy, eV per formula unit: 1.8

The structure in POSCAR format:
```
KLiSc
1.0
-1.3202 -4.2937 3.9055
3.4742 -1.2008 -4.6818
2.6230 0.7816 1.7459
Li Sc K
1 1 1
direct
0.6667 0.3333 0.1644 Li
0.3333 0.6667 0.6670 Sc
0.0000 0.0000 0.1686 K
```

No. 12
VASP calculation (GGA-PBE) on a geometry-optimized Pm2PrHo3Te6 structure.

## Properties
Calculated density, g/cm³: 7.708
Formation energy from raw total energies, eV/atom: -1.337
Density of states at the Fermi level, states/eV/cell: 5.91
Total energy, eV per cell: -62.9

The structure in POSCAR format:
```
Pm2PrHo3Te6
1.0
-2.7248 2.2811 -2.5278
-6.8610 -2.4841 5.1539
4.5803 7.0834 5.2165
Te Ho Pm Pr
6 3 2 1
direct
0.6711 0.0775 0.3422 Te
0.6644 0.5893 0.3288 Te
0.3356 0.4107 0.6712 Te
0.9980 0.2600 0.9960 Te
0.0020 0.7400 0.0040 Te
0.3289 0.9225 0.6578 Te
0.5000 0.5000 0.0000 Ho
0.1650 0.8326 0.3300 Ho
0.8350 0.1674 0.6700 Ho
0.8340 0.6683 0.6679 Pm
0.1660 0.3317 0.3321 Pm
0.5000 0.0000 0.0000 Pr
```